# 1
DFT (PBE) results for a geometry-optimized Pu3Te2H structure.

abc: 5.7293 8.3744 6.5048
angles: 102.43 116.13 90.00
With the nearest neighbours (Å) after each atom.
Positions (direct):
Pu  0.8874  0.8622  0.7927  1 H 2.27
Pu  0.9053  0.3622  0.7927  1 H 2.27
Pu  0.3441  0.2500  0.0000  1 H 2.31, 2 Pu 2.57
Pu  0.6559  0.7500  0.0000  1 H 2.31, 2 Pu 2.57
Pu  0.0947  0.6378  0.2073  1 H 2.27
Pu  0.1126  0.1378  0.2073  1 H 2.27
Te  0.3036  0.9337  0.6294  6 Pu 3.05-3.32, 2 H 3.24-3.34
Te  0.6964  0.0663  0.3706  6 Pu 3.05-3.32, 2 H 3.24-3.34
Te  0.6742  0.5663  0.3706  6 Pu 3.05-3.32, 2 H 3.24-3.34
Te  0.3258  0.4337  0.6294  6 Pu 3.05-3.32, 2 H 3.24-3.34
H  0.2527  0.7500  0.0000  3 Pu 2.27-2.31
H  0.7473  0.2500  0.0000  3 Pu 2.27-2.31

Values from the calculation:
Space-group type: C2/c
Final energy in eV per atom: -9.23

# 2
DFT (PBE) results for a geometry-optimized PuTeH structure.

abc: 3.8368 6.6015 6.0858
angles: 70.01 71.63 54.46
With the nearest neighbours (Å) after each atom.
Positions (direct):
Pu  0.3551  0.8397  0.7069  3 H 2.18-2.20
Pu  0.0045  0.4492  0.1891  3 H 2.18-2.20
H  0.8201  0.7794  0.8975  3 Pu 2.18-2.20, 2 H 2.40
H  0.5395  0.5094  0.9985  3 Pu 2.18-2.20, 2 H 2.40
Te  0.3737  0.3446  0.6600  4 H 2.94-3.06, 5 Pu 3.22-3.29
Te  0.9859  0.9442  0.2361  4 H 2.94-3.06, 5 Pu 3.22-3.29

Values from the calculation:
Space-group type: C2/m
Final energy in eV per atom: -7.70

# 3
DFT (PBE) results for a geometry-optimized Pu2TeH structure.

abc: 5.7471 6.4055 10.3436
angles: 114.30 90.00 90.00
With the nearest neighbours (Å) after each atom.
Positions (direct):
Pu  0.7650  0.0806  0.9004  2 H 2.28-2.37
Pu  0.2350  0.5806  0.4004  2 H 2.28-2.37
Pu  0.2495  0.5144  0.7841  2 H 2.21-2.26
Pu  0.7650  0.4194  0.5996  2 H 2.28-2.37
Pu  0.7505  0.0144  0.2841  2 H 2.21-2.26
Pu  0.2350  0.9194  0.0996  2 H 2.28-2.37
Pu  0.7505  0.4856  0.2159  2 H 2.21-2.26
Pu  0.2495  0.9856  0.7159  2 H 2.21-2.26
Te  0.2575  0.3790  0.0564  2 H 2.95-3.07, 5 Pu 3.16-3.28
Te  0.7425  0.8790  0.5564  2 H 2.95-3.07, 5 Pu 3.16-3.28
Te  0.2575  0.1210  0.4436  2 H 2.95-3.07, 5 Pu 3.16-3.28
Te  0.7425  0.6210  0.9436  2 H 2.95-3.07, 5 Pu 3.16-3.28
H  0.1173  0.8787  0.8802  4 Pu 2.21-2.37
H  0.8827  0.3787  0.3802  4 Pu 2.21-2.37
H  0.8827  0.1213  0.1198  4 Pu 2.21-2.37
H  0.1173  0.6213  0.6198  4 Pu 2.21-2.37

Values from the calculation:
Energy relative to the lowest polymorph listed for this composition in kJ/mol of formula units: 56
Space-group type: P2/c
Final energy in eV per atom: -9.26

# 4
DFT (PBE) results for a geometry-optimized Pu3Te2H2 structure.

abc: 3.5878 8.6511 4.3583
angles: 94.22 90.00 101.97
With the nearest neighbours (Å) after each atom.
Positions (direct):
Pu  0.0000  0.0000  0.0000  4 H 2.24
Pu  0.2900  0.5799  0.9237  1 H 2.21, 2 Pu 2.37
Pu  0.7100  0.4201  0.0763  1 H 2.21, 2 Pu 2.37
H  0.4209  0.8419  0.9678  3 Pu 2.21-2.24
H  0.5791  0.1581  0.0322  3 Pu 2.21-2.24
Te  0.1301  0.2604  0.5385  4 H 2.92-2.98, 7 Pu 3.07-3.17
Te  0.8699  0.7396  0.4615  4 H 2.92-2.98, 7 Pu 3.07-3.17

Values from the calculation:
Space-group type: C2/m
Final energy in eV per atom: -8.40

# 5
DFT (PBE) results for a geometry-optimized Pu3Te3H2 structure.

abc: 4.1017 6.0361 15.5579
angles: 90.00 90.00 109.86
With the nearest neighbours (Å) after each atom.
Positions (direct):
Pu  0.3535  0.7070  0.9490  3 H 2.27-2.28
Pu  0.6465  0.2930  0.0510  3 H 2.27-2.28
Pu  0.3565  0.7129  0.2500  7 Te 3.16-3.27, 2 H 3.23
Pu  0.3535  0.7070  0.5510  3 H 2.27-2.28
Pu  0.6435  0.2871  0.7500  7 Te 3.16-3.27, 2 H 3.23
Pu  0.6465  0.2930  0.4490  3 H 2.27-2.28
Te  0.9309  0.8618  0.3973  4 H 3.13-3.44, 7 Pu 3.19-3.33
Te  0.0691  0.1382  0.8973  4 H 3.13-3.44, 7 Pu 3.19-3.33
Te  0.6449  0.2898  0.2500  5 Pu 3.10-3.27
Te  0.9309  0.8618  0.1027  4 H 3.13-3.44, 7 Pu 3.19-3.33
Te  0.0691  0.1382  0.6027  4 H 3.13-3.44, 7 Pu 3.19-3.33
Te  0.3551  0.7102  0.7500  5 Pu 3.10-3.27
H  0.7703  0.5405  0.5643  3 Pu 2.27-2.28
H  0.2297  0.4595  0.4357  3 Pu 2.27-2.28
H  0.7703  0.5405  0.9357  3 Pu 2.27-2.28
H  0.2297  0.4595  0.0643  3 Pu 2.27-2.28

Values from the calculation:
Space-group type: Cmcm
Final energy in eV per atom: -8.21

# 6
DFT (PBE) results for a geometry-optimized Pu2TeH2 structure.

abc: 4.0482 4.0482 6.1593
angles: 109.17 109.17 89.98
With the nearest neighbours (Å) after each atom.
Positions (direct):
Te  0.0000  0.0000  0.0000  8 Pu 3.32, 8 H 3.40
Pu  0.6533  0.6533  0.3070  4 H 2.28
Pu  0.3467  0.3467  0.6930  4 H 2.28
H  0.7503  0.2497  0.5000  4 Pu 2.28
H  0.2497  0.7503  0.5000  4 Pu 2.28

Values from the calculation:
Energy relative to the lowest polymorph listed for this composition in kJ/mol of formula units: 0
Space-group type: I4/mmm
Final energy in eV per atom: -8.36

# 7
DFT (PBE) results for a geometry-optimized Pu3TeH3 structure.

abc: 6.0432 6.0432 7.5375
angles: 66.37 66.37 60.00
With the nearest neighbours (Å) after each atom.
Positions (direct):
Pu  0.1056  0.8673  0.7073  4 H 2.19-2.33, 2 Pu 2.37
Pu  0.8944  0.1327  0.2927  4 H 2.19-2.33, 2 Pu 2.37
Pu  0.8673  0.3198  0.7073  4 H 2.19-2.33, 2 Pu 2.37
Pu  0.1327  0.6802  0.2927  4 H 2.19-2.33, 2 Pu 2.37
Pu  0.3198  0.1056  0.7073  4 H 2.19-2.33, 2 Pu 2.37
Pu  0.6802  0.8944  0.2927  4 H 2.19-2.33, 2 Pu 2.37
H  0.8797  0.4421  0.3848  4 Pu 2.19-2.33, 2 H 2.40
H  0.5579  0.7067  0.6152  4 Pu 2.19-2.33, 2 H 2.40
H  0.7067  0.1203  0.6152  4 Pu 2.19-2.33, 2 H 2.40
H  0.4421  0.2933  0.3848  4 Pu 2.19-2.33, 2 H 2.40
H  0.1203  0.5579  0.6152  4 Pu 2.19-2.33, 2 H 2.40
H  0.2933  0.8797  0.3848  4 Pu 2.19-2.33, 2 H 2.40
Te  0.6661  0.6661  0.0017  6 Pu 3.07-3.13, 6 H 3.13-3.15
Te  0.3339  0.3339  0.9983  6 Pu 3.07-3.13, 6 H 3.13-3.15

Values from the calculation:
Space-group type: R-3
Final energy in eV per atom: -7.92

# 8
DFT (PBE) results for a geometry-optimized Pu2Te2H structure.

abc: 6.1559 6.3057 7.6640
angles: 114.29 113.68 90.00
With the nearest neighbours (Å) after each atom.
Positions (direct):
Pu  0.1035  0.8020  0.2070  2 H 2.37
Pu  0.3965  0.5950  0.7930  2 H 2.37
Pu  0.6035  0.4050  0.2070  2 H 2.37
Pu  0.8965  0.1980  0.7930  2 H 2.37
Te  0.3564  0.0548  0.7128  2 H 3.04, 6 Pu 3.17-3.19
Te  0.6436  0.9452  0.2872  2 H 3.04, 6 Pu 3.17-3.19
Te  0.1436  0.3420  0.2872  2 H 3.04, 6 Pu 3.17-3.19
Te  0.8564  0.6580  0.7128  2 H 3.04, 6 Pu 3.17-3.19
H  0.7500  0.5000  0.0000  4 Pu 2.37
H  0.2500  0.5000  0.0000  4 Pu 2.37

Values from the calculation:
Space-group type: Ibam
Final energy in eV per atom: -8.59

# 9
DFT (PBE) results for a geometry-optimized Pu5Te5H2 structure.

abc: 4.2981 7.9241 9.9387
angles: 86.73 90.00 105.74
With the nearest neighbours (Å) after each atom.
Positions (direct):
Te  0.2141  0.4283  0.6500  5 Pu 3.10-3.37, 1 H 3.19
Te  0.5000  0.0000  0.5000  6 Pu 3.05-3.22
Te  0.3767  0.7534  0.9029  6 Pu 3.05-3.37, 2 H 3.24
Te  0.6233  0.2466  0.0971  6 Pu 3.05-3.37, 2 H 3.24
Te  0.7859  0.5717  0.3500  5 Pu 3.10-3.37, 1 H 3.19
Pu  0.0000  0.0000  0.0000  2 H 2.30
Pu  0.1269  0.2538  0.3466  1 H 2.51
Pu  0.4147  0.8294  0.2302  2 H 2.40
Pu  0.5853  0.1706  0.7698  2 H 2.40
Pu  0.8731  0.7462  0.6534  1 H 2.51
H  0.0151  0.0303  0.7685  4 Pu 2.30-2.51
H  0.9849  0.9697  0.2315  4 Pu 2.30-2.51

Values from the calculation:
Space-group type: C2/m
Final energy in eV per atom: -8.59

# 10
DFT (PBE) results for a geometry-optimized PuTeH structure.

abc: 3.3300 3.3300 5.9360
angles: 106.29 106.29 90.00
With the nearest neighbours (Å) after each atom.
Positions (direct):
H  0.2774  0.2774  0.5547  4 Pu 2.45
Pu  0.7138  0.7138  0.4277  4 H 2.45
Te  0.0088  0.0088  0.0176  1 H 2.93, 5 Pu 3.21-3.25

Values from the calculation:
Space-group type: I4mm
Final energy in eV per atom: -7.36

# 11
DFT (PBE) results for a geometry-optimized PuTeH structure.

abc: 3.8885 6.0227 6.0227
angles: 84.25 71.17 71.17
With the nearest neighbours (Å) after each atom.
Positions (direct):
Te  0.7356  0.7644  0.7644  6 Pu 3.14-3.22, 6 H 3.22
Te  0.2644  0.2356  0.2356  6 Pu 3.14-3.22, 6 H 3.22
H  0.5000  0.3226  0.6774  2 Pu 2.13
H  0.5000  0.6774  0.3226  2 Pu 2.13
Pu  0.0000  0.7853  0.2147  2 H 2.13
Pu  0.0000  0.2147  0.7853  2 H 2.13

Values from the calculation:
Space-group type: Immm
Final energy in eV per atom: -7.57

# 12
DFT (PBE) results for a geometry-optimized Pu2TeH structure.

abc: 3.9768 3.9768 7.0251
angles: 73.56 73.56 60.00
With the nearest neighbours (Å) after each atom.
Positions (direct):
Pu  0.2714  0.2714  0.1857  3 H 2.61
Pu  0.7286  0.7286  0.8143  3 H 2.61
Te  0.5000  0.5000  0.5000  6 Pu 3.10
H  0.0000  0.0000  0.0000  6 Pu 2.61

Values from the calculation:
Energy relative to the lowest polymorph listed for this composition in kJ/mol of formula units: 52
Space-group type: R-3m
Final energy in eV per atom: -9.28